# TcMoP2, relaxed, DFT PBE
data_TcMoP2
_cell_length_a 3.034
_cell_length_b 3.779
_cell_length_c 5.004
_cell_angle_alpha 90.00
_cell_angle_beta 90.00
_cell_angle_gamma 90.00
_symmetry_space_group_name_H-M 'P m m m'
_symmetry_Int_Tables_number 47
loop_
_symmetry_equiv_pos_as_xyz
'x,y,z'
'-x,-y,-z'
'-x,-y,z'
'x,y,-z'
'x,-y,-z'
'-x,y,z'
'-x,y,-z'
'x,-y,z'
loop_
_atom_site_label
_atom_site_type_symbol
_atom_site_fract_x
_atom_site_fract_y
_atom_site_fract_z
Tc1 Tc 0.000 0.000 0.000
Mo1 Mo 0.500 0.000 0.500
P1 P 0.000 0.500 0.500
P2 P 0.500 0.500 0.000
# Energy above the most stable polymorph in this dataset: 0.637 eV/atom
# Uncorrected energy: -7.92 eV/atom